# 1
LiCaTa2 | GGA-PBEsol | optimized geometry

a = 2.766 Å, b = 2.766 Å, c = 10.784 Å
α = 90.00°, β = 90.00°, γ = 109.10°
Element x y z (fractional)
Li: 0.000 0.000 0.000
Ca: 0.000 0.000 0.500
Ta: 0.500 0.500 0.240
Ta: 0.500 0.500 0.760

Computed properties:
Space group: Cmmm
Energy above the most stable polymorph in this dataset, eV/atom: 0.076
Raw total energy, eV per atom: -6.622
Spin magnetization, μB/cell: 0.000



# 2
LiCaTa2 | GGA-PBEsol | optimized geometry

a = 6.128 Å, b = 6.128 Å, c = 2.917 Å
α = 99.95°, β = 99.95°, γ = 128.03°
Element x y z (fractional)
Li: 0.000 0.000 0.000
Ca: 0.500 0.500 0.000
Ta: 0.000 0.500 0.500
Ta: 0.500 0.000 0.500

Computed properties:
Space group: C2/m
Energy above the most stable polymorph in this dataset, eV/atom: 0.000
Raw total energy, eV per atom: -6.698
Spin magnetization, μB/cell: 0.000



# 3
Li2CaTc | GGA-PBEsol | optimized geometry

a = 2.686 Å, b = 2.686 Å, c = 10.016 Å
α = 90.00°, β = 90.00°, γ = 90.00°
Element x y z (fractional)
Li: 0.000 0.000 0.208
Li: 0.000 0.000 0.792
Ca: 0.500 0.500 0.500
Tc: 0.500 0.500 0.000

Computed properties:
Space group: P4/mmm
Energy above the most stable polymorph in this dataset, eV/atom: 0.058
Raw total energy, eV per atom: -3.728
Spin magnetization, μB/cell: 0.001



# 4
Li2CaTc | GGA-PBEsol | optimized geometry

a = 5.002 Å, b = 5.002 Å, c = 5.509 Å
α = 98.56°, β = 98.56°, γ = 31.41°
Element x y z (fractional)
Li: 0.000 0.000 0.000
Li: 0.744 0.744 0.237
Ca: 0.236 0.236 0.698
Tc: 0.484 0.484 0.452

Computed properties:
Space group: Cm
Energy above the most stable polymorph in this dataset, eV/atom: 0.000
Raw total energy, eV per atom: -3.787
Spin magnetization, μB/cell: 0.000



# 5
Li2CaTc | GGA-PBEsol | optimized geometry

a = 5.452 Å, b = 5.452 Å, c = 2.676 Å
α = 90.00°, β = 90.00°, γ = 118.25°
Element x y z (fractional)
Li: 0.000 0.500 0.000
Li: 0.500 0.000 0.000
Ca: 0.000 0.000 0.500
Tc: 0.500 0.500 0.500

Computed properties:
Space group: Cmmm
Energy above the most stable polymorph in this dataset, eV/atom: 0.064
Raw total energy, eV per atom: -3.722
Spin magnetization, μB/cell: 0.000



# 6
Li2CaTc | GGA-PBEsol | optimized geometry

a = 4.688 Å, b = 4.688 Å, c = 4.688 Å
α = 60.00°, β = 60.00°, γ = 60.00°
Element x y z (fractional)
Li: 0.250 0.250 0.250
Li: 0.750 0.750 0.750
Ca: 0.000 0.000 0.000
Tc: 0.500 0.500 0.500

Computed properties:
Space group: Fm-3m
Energy above the most stable polymorph in this dataset, eV/atom: 0.139
Raw total energy, eV per atom: -3.648
Spin magnetization, μB/cell: 1.803



# 7
Li3CaTc | GGA-PBEsol | optimized geometry

a = 4.315 Å, b = 4.315 Å, c = 4.315 Å
α = 90.00°, β = 90.00°, γ = 90.00°
Element x y z (fractional)
Li: 0.000 0.000 0.500
Li: 0.000 0.500 0.000
Li: 0.500 0.000 0.000
Ca: 0.000 0.000 0.000
Tc: 0.500 0.500 0.500

Computed properties:
Space group: Pm-3m
Raw total energy, eV per atom: -2.348
Spin magnetization, μB/cell: 0.034



# 8
Li2CaTc | GGA-PBEsol | optimized geometry

a = 4.145 Å, b = 4.145 Å, c = 4.177 Å
α = 90.00°, β = 90.00°, γ = 90.00°
Element x y z (fractional)
Li: 0.000 0.500 0.000
Li: 0.500 0.000 0.000
Ca: 0.000 0.000 0.500
Tc: 0.500 0.500 0.500

Computed properties:
Space group: P4/mmm
Energy above the most stable polymorph in this dataset, eV/atom: 0.158
Raw total energy, eV per atom: -3.629
Spin magnetization, μB/cell: 0.992